[1]
## LiMnFe2 (PBE-GGA)

Data for a relaxed structure of LiMnFe2.

abc: 4.070 2.369 4.685
angles: 82.61 90.00 90.00
Each line ends with the local moment (μB).
Positions (direct):
Mn1 0.500 0.723 0.767  0.32
Li1 0.000 0.521 0.490  -0.06
Fe1 0.500 0.259 0.257  2.24
Fe2 0.000 0.997 0.986  2.00

Output
Its energy above the lowest structure with this stoichiometry is 0.0464 eV/atom. For the formation energy, the calculation gives 0.251 eV/atom.


[2]
## La2AlBPt6 (PBE-GGA)

Data for a relaxed structure of La2AlBPt6.

abc: 5.899 5.899 6.762
angles: 115.86 115.86 90.00
Positions (direct):
La1 0.717 0.218 0.434
La2 0.217 0.718 0.434
Al1 0.564 0.564 0.127
B1 0.072 0.073 0.145
Pt1 0.205 0.205 0.936
Pt2 0.204 0.732 0.936
Pt3 0.784 0.784 0.568
Pt4 0.731 0.205 0.936
Pt5 0.731 0.732 0.936
Pt6 0.273 0.274 0.547

Output
For the formation energy, the calculation gives -0.957 eV/atom.


[3]
## PIrAuS2 (PBE-GGA)

Data for a relaxed structure of PIrAuS2.

abc: 4.760 4.760 4.654
angles: 90.00 90.00 90.00
Each line ends with the local moment (μB).
Positions (direct):
Au1 0.000 0.000 0.000  0.01
S1 0.500 0.000 0.000  0.08
S2 0.000 0.500 0.000  0.08
P1 0.000 0.000 0.500  -0.01
Ir1 0.500 0.500 0.500  0.65

Output
Its energy above the lowest structure with this stoichiometry is 0.8594 eV/atom. The value obtained for the raw formation energy is 1640 meV/atom.


[4]
## K2TlAg2Br7 (PBE-GGA)

Data for a relaxed structure of K2TlAg2Br7.

abc: 5.423 5.423 13.997
angles: 78.83 78.83 89.99
Positions (direct):
K1 0.179 0.179 0.644
K2 0.821 0.821 0.356
Br1 0.594 0.094 0.812
Br2 0.406 0.906 0.188
Br3 0.500 0.500 0.000
Br4 0.094 0.594 0.812
Br5 0.699 0.699 0.601
Br6 0.301 0.301 0.399
Br7 0.906 0.406 0.188
Ag1 0.600 0.600 0.800
Ag2 0.400 0.400 0.200
Tl1 0.000 0.000 0.000

Output
The value obtained for the raw formation energy is -831 meV/atom.


[5]
## CaAg4Ir (PBE-GGA)

Data for a relaxed structure of CaAg4Ir.

abc: 5.464 5.464 5.464
angles: 60.00 60.00 60.00
Positions (direct):
Ag1 0.375 0.876 0.375
Ag2 0.375 0.375 0.876
Ag3 0.876 0.375 0.375
Ag4 0.375 0.375 0.375
Ir1 0.000 0.000 0.000
Ca1 0.750 0.750 0.750

Output
For the formation energy, the calculation gives 0.125 eV/atom.


[6]
## Sr2As2Au (PBE-GGA)

Data for a relaxed structure of Sr2As2Au.

abc: 3.991 3.991 9.262
angles: 77.56 77.56 90.00
Positions (direct):
Au1 0.000 0.000 0.000
As1 0.250 0.750 0.500
As2 0.750 0.250 0.500
Sr1 0.610 0.610 0.780
Sr2 0.390 0.390 0.220

Output
Its energy above the lowest structure with this stoichiometry is 0.2836 eV/atom. For the formation energy, the calculation gives -0.635 eV/atom.


[7]
## BPdPt2 (PBE-GGA)

Data for a relaxed structure of BPdPt2.

abc: 2.867 2.867 7.828
angles: 79.45 79.45 60.00
Positions (direct):
Pt1 0.063 0.063 0.810
Pt2 0.270 0.270 0.189
B1 0.667 0.667 0.000
Pd1 0.500 0.500 0.501

Output
For the formation energy, the calculation gives -0.104 eV/atom.


[8]
## RbCd2In9 (PBE-GGA)

Data for a relaxed structure of RbCd2In9.

abc: 8.479 9.994 9.994
angles: 79.63 64.90 64.90
Positions (direct):
Cd1 0.875 0.250 0.250
Cd2 0.875 0.250 0.750
Cd3 0.375 0.750 0.750
Cd4 0.875 0.750 0.250
Rb1 0.250 0.500 0.500
Rb2 0.500 0.000 0.000
In1 0.598 0.078 0.323
In2 0.152 0.177 0.422
In3 0.324 0.078 0.677
In4 0.079 0.922 0.323
In5 0.751 0.578 0.823
In6 0.324 0.677 0.078
In7 0.999 0.922 0.677
In8 0.671 0.177 0.578
In9 0.750 0.500 0.500
In10 0.426 0.823 0.422
In11 0.598 0.323 0.078
In12 0.079 0.323 0.922
In13 0.999 0.677 0.922
In14 0.671 0.578 0.177
In15 0.000 0.000 0.000
In16 0.426 0.422 0.823
In17 0.152 0.422 0.177
In18 0.751 0.823 0.578

Output
Its energy above the lowest structure with this stoichiometry is 0.0000 eV/atom. For the formation energy, the calculation gives -0.035 eV/atom.


[9]
## KMn2IrPt (PBE-GGA)

Data for a relaxed structure of KMn2IrPt.

abc: 4.929 5.006 4.929
angles: 90.00 90.00 90.00
Each line ends with the local moment (μB).
Positions (direct):
Pt1 0.000 0.500 0.000  -0.17
Ir1 0.000 0.000 0.000  0.03
Mn1 0.000 0.000 0.500  4.08
Mn2 0.500 0.000 0.000  4.09
K1 0.500 0.500 0.500  0.00

Output
For the formation energy, the calculation gives 0.620 eV/atom.


[10]
## YTa2Ir (PBE-GGA)

Data for a relaxed structure of YTa2Ir.

abc: 3.010 3.010 8.659
angles: 90.00 90.00 90.01
Positions (direct):
Ta1 0.000 0.000 0.958
Ta2 0.000 0.000 0.542
Y1 0.500 0.500 0.250
Ir1 0.500 0.500 0.750

Output
Its energy above the lowest structure with this stoichiometry is 0.1868 eV/atom. For the formation energy, the calculation gives 0.003 eV/atom.


[11]
## YMgMn2 (PBE-GGA)

Data for a relaxed structure of YMgMn2.

abc: 9.634 9.634 9.634
angles: 18.94 18.94 18.94
Each line ends with the local moment (μB).
Positions (direct):
Mg1 0.750 0.750 0.750  -0.04
Y1 0.250 0.250 0.250  -0.31
Mn1 0.497 0.497 0.497  3.60
Mn2 0.003 0.003 0.003  3.60

Output
For the formation energy, the calculation gives 0.480 eV/atom.


[12]
## Ni2PbCl (PBE-GGA)

Data for a relaxed structure of Ni2PbCl.

abc: 5.107 5.107 5.107
angles: 143.86 113.80 77.82
Positions (direct):
Cl1 0.250 0.750 0.500
Ni1 0.015 0.015 0.000
Ni2 0.485 0.485 0.000
Pb1 0.750 0.250 0.500

Output
Its energy above the lowest structure with this stoichiometry is 0.2549 eV/atom. The value obtained for the raw formation energy is 305 meV/atom.


[13]
## MgAs2H (PBE-GGA)

Data for a relaxed structure of MgAs2H.

abc: 4.493 4.493 4.493
angles: 60.00 60.00 60.00
Positions (direct):
As1 0.750 0.750 0.750
As2 0.250 0.250 0.250
H1 0.000 0.000 0.000
Mg1 0.500 0.500 0.500

Output
Its energy above the lowest structure with this stoichiometry is 0.2289 eV/atom.


no.,uncorrected energy (eV per cell),DOS(E_F) (states/eV per cell)
1,-27.00,3.75
2,-66.09,2.89
3,-17.60,6.51
4,-31.94,3.37
5,-21.52,2.81
6,-19.12,2.75
7,-24.37,1.34
8,-55.72,9.06
9,-31.24,3.13
10,-39.02,4.57
11,-24.48,3.84
12,-15.90,2.86
13,-12.53,1.03